Version P
A plane-wave DFT calculation with PBE was carried out for a relaxed structure of ScTaW2.

a = 5.465 Å, b = 5.465 Å, c = 2.725 Å
α = 90.00°, β = 90.00°, γ = 119.00°
Sites, in units of the cell vectors:
W: 0.000 0.000 0.000
W: 0.500 0.500 0.000
Ta: 0.000 0.500 0.500
Sc: 0.500 0.000 0.500

Computed properties:
DOS(E_F) = 2.9 states/eV per cell
total magnetic moment = 0.00 μB/atom
space-group type = Cmmm, No. 65


Version Q
A plane-wave DFT calculation with PBE was carried out for a relaxed structure of ScTaW2.

a = 2.835 Å, b = 2.835 Å, c = 9.449 Å
α = 90.00°, β = 90.00°, γ = 109.92°
Sites, in units of the cell vectors:
W: 0.000 0.000 0.007
W: 0.500 0.500 0.235
Ta: 0.500 0.500 0.768
Sc: 0.000 0.000 0.490

Computed properties:
DOS(E_F) = 4.4 states/eV per cell
total magnetic moment = 0.00 μB/atom
space-group type = Cmm2, No. 35


Version R
A plane-wave DFT calculation with PBE was carried out for a relaxed structure of ScTaW2.

a = 5.475 Å, b = 5.475 Å, c = 5.475 Å
α = 145.53°, β = 129.17°, γ = 62.87°
Sites, in units of the cell vectors:
W: 0.767 0.267 0.500
W: 0.990 0.990 0.000
Sc: 0.505 0.505 0.000
Ta: 0.238 0.738 0.500

Computed properties:
DOS(E_F) = 4.0 states/eV per cell
total magnetic moment = 0.00 μB/atom
space-group type = Imm2, No. 44


Version S
A plane-wave DFT calculation with PBE was carried out for a relaxed structure of ScTaW2.

a = 4.617 Å, b = 3.931 Å, c = 3.931 Å
α = 90.00°, β = 90.00°, γ = 90.00°
Sites, in units of the cell vectors:
Sc: 0.500 0.500 0.000
Ta: 0.500 0.000 0.500
W: 0.000 0.000 0.000
W: 0.000 0.500 0.500

Computed properties:
DOS(E_F) = 4.6 states/eV per cell
total magnetic moment = 0.00 μB/atom
space-group type = P4/mmm, No. 123


Least stable of them? version S.


Version P
A plane-wave DFT calculation with PBE was carried out for a relaxed structure of ScTaW2.

a = 10.051 Å, b = 10.051 Å, c = 10.051 Å
α = 16.54°, β = 16.54°, γ = 16.54°
Sites, in units of the cell vectors:
Ta: 0.750 0.750 0.750
W: 0.000 0.000 0.000
W: 0.500 0.500 0.500
Sc: 0.250 0.250 0.250

Computed properties:
DOS(E_F) = 4.9 states/eV per cell
total magnetic moment = 0.00 μB/atom
space-group type = R-3m, No. 166


Version Q
A plane-wave DFT calculation with PBE was carried out for a relaxed structure of ScTaW2.

a = 2.816 Å, b = 2.816 Å, c = 9.369 Å
α = 90.00°, β = 90.00°, γ = 108.16°
Sites, in units of the cell vectors:
W: 0.000 0.000 0.992
W: 0.000 0.000 0.508
Sc: 0.500 0.500 0.250
Ta: 0.500 0.500 0.750

Computed properties:
DOS(E_F) = 5.0 states/eV per cell
total magnetic moment = 0.00 μB/atom
space-group type = Cmmm, No. 65


Least stable of them? version P.